1.
Compound: ZnCr2Rh
Source: the Alexandria database
Functional: PBE
Structure: relaxed

Properties
Calculated formation energy = 624 meV per atom
Total magnetization = 0.000 μB per formula unit

Structure (CIF):
```
data_ZnCr2Rh
_symmetry_space_group_name_H-M 'I -4 2 d'
_symmetry_Int_Tables_number 122
_symmetry_space_group_name_Hall 'I -4 2bw'
_cell_length_a 6.817
_cell_length_b 6.817
_cell_length_c 4.897
_cell_angle_alpha 90.00
_cell_angle_beta 90.00
_cell_angle_gamma 90.00
loop_
_atom_site_label
_atom_site_type_symbol
_atom_site_fract_x
_atom_site_fract_y
_atom_site_fract_z
Zn1 Zn 0.000 0.000 0.000
Cr1 Cr 0.229 0.250 0.625
Rh1 Rh 0.000 0.000 0.500
```



2.
Compound: Tb2Sm2TmSc2
Source: the Alexandria database
Functional: PBE
Structure: relaxed

Properties
Calculated formation energy = 109 meV per atom
Total magnetization = 0.000 μB per formula unit

Structure (CIF):
```
data_Tb2Sm2TmSc2
_symmetry_space_group_name_H-M 'C 1 2/m 1'
_symmetry_Int_Tables_number 12
_symmetry_space_group_name_Hall '-C 2y'
_cell_length_a 11.341
_cell_length_b 3.427
_cell_length_c 11.586
_cell_angle_alpha 90.00
_cell_angle_beta 109.13
_cell_angle_gamma 90.00
loop_
_atom_site_label
_atom_site_type_symbol
_atom_site_fract_x
_atom_site_fract_y
_atom_site_fract_z
Tb1 Tb 0.047 0.000 0.266
Sm1 Sm 0.170 0.000 0.589
Tm1 Tm 0.000 0.500 0.000
Sc1 Sc 0.229 0.500 0.870
```



| no. | energy (eV/cell) |
| --- | --- |
| 1 | -101.497 |
| 2 | -70.146 |